1.
# Hf4CN3

A relaxed Hf4CN3 crystal (PBE, Alexandria via LeMat-Bulk).

a = 4.564 Å, b = 4.564 Å, c = 4.564 Å
α = 90.00°, β = 90.00°, γ = 90.00°
Space group Pm-3m (No. 221)
Symmetry-distinct sites (fractional):
Hf (0.000, 0.000, 0.000) (multiplicity 1)
Hf (0.000, 0.500, 0.500) (multiplicity 3)
C (0.500, 0.500, 0.500) (multiplicity 1)
N (0.000, 0.000, 0.500) (multiplicity 3)

Values from the calculation:
Relative energy among the computed polymorphs (meV/atom): 0
Magnetic moment (μB per cell): 0.0

---

2.
# Hf8C2N

A relaxed Hf8C2N crystal (PBE, Alexandria via LeMat-Bulk).

a = 10.278 Å, b = 7.644 Å, c = 4.911 Å
α = 90.00°, β = 90.59°, γ = 90.00°
Space group C2/m (No. 12)
Symmetry-distinct sites (fractional):
Hf (0.103, 0.208, 0.240) (multiplicity 8)
Hf (0.109, 0.500, 0.752) (multiplicity 4)
Hf (0.175, 0.000, 0.741) (multiplicity 4)
C (0.111, 0.500, 0.254) (multiplicity 4)
N (0.000, 0.000, 0.000) (multiplicity 2)

Values from the calculation:
Relative energy among the computed polymorphs (meV/atom): 0
Magnetic moment (μB per cell): 0.0

---

3.
# Hf8C2N3

A relaxed Hf8C2N3 crystal (PBE, Alexandria via LeMat-Bulk).

a = 10.595 Å, b = 6.490 Å, c = 5.559 Å
α = 90.00°, β = 91.23°, γ = 90.00°
Space group C2/m (No. 12)
Symmetry-distinct sites (fractional):
Hf (0.117, 0.000, 0.177) (multiplicity 4)
Hf (0.122, 0.500, 0.162) (multiplicity 4)
Hf (0.129, 0.244, 0.666) (multiplicity 8)
C (0.241, 0.500, 0.500) (multiplicity 4)
N (0.000, 0.000, 0.500) (multiplicity 2)
N (0.000, 0.249, 0.000) (multiplicity 4)

Values from the calculation:
E (eV/atom): -10.58
Magnetic moment (μB per cell): 0.0

---

4.
# Hf3CN2

A relaxed Hf3CN2 crystal (PBE, Alexandria via LeMat-Bulk).

a = 3.233 Å, b = 4.568 Å, c = 9.739 Å
α = 90.00°, β = 90.00°, γ = 90.00°
Space group Immm (No. 71)
Symmetry-distinct sites (fractional):
Hf (0.000, 0.000, 0.000) (multiplicity 2)
Hf (0.000, 0.000, 0.336) (multiplicity 4)
C (0.000, 0.500, 0.000) (multiplicity 2)
N (0.000, 0.500, 0.334) (multiplicity 4)

Values from the calculation:
Relative energy among the computed polymorphs (meV/atom): 0
Magnetic moment (μB per cell): 0.0